Run P
Compound: LaAuO2
Source: Alexandria
Functional: PBE
Structure: relaxed

## Properties
Size of the total moment in μB/atom: 0.00
ρ in Mg/m³: 7.940
Density of states at the Fermi level in states/eV per atom: 0.000

Structure (POSCAR):
```
LaAuO2
1.0
1.9252 1.1115 5.9922
-1.9252 1.1115 5.9922
0.0000 -2.2231 5.9922
La Au O
1 1 2
Cartesian
0.0000 0.0000 0.0000
0.0000 0.0000 8.9882
0.0000 0.0000 6.9674
0.0000 0.0000 11.0091
```



Run Q
Compound: LaAuO2
Source: Alexandria
Functional: PBE
Structure: relaxed

## Properties
Size of the total moment in μB/atom: 0.00
ρ in Mg/m³: 10.370
Density of states at the Fermi level in states/eV per atom: 0.060

Structure (POSCAR):
```
LaAuO2
1.0
0.0000 3.0882 3.0882
3.0882 0.0000 3.0882
3.0882 3.0882 0.0000
La Au O
1 1 2
Cartesian
0.0000 0.0000 0.0000
3.0882 3.0882 3.0882
1.5441 1.5441 1.5441
4.6323 4.6323 4.6323
```



Run R
Compound: LaAuO2
Source: Alexandria
Functional: PBE
Structure: relaxed

## Properties
Size of the total moment in μB/atom: 0.00
ρ in Mg/m³: 8.079
Density of states at the Fermi level in states/eV per atom: 0.000

Structure (POSCAR):
```
LaAuO2
1.0
-2.4422 2.4422 6.3389
2.4422 -2.4422 6.3389
2.4422 2.4422 -6.3389
La Au O
2 2 4
Cartesian
0.0000 0.0000 0.0000
0.0000 2.4422 3.1694
2.4422 0.0000 3.1694
0.0000 0.0000 6.3389
3.6633 1.1788 -1.5847
1.1788 1.2211 1.5847
-1.2211 1.2633 4.7542
1.2633 1.2211 7.9236
```



Most stable one: run P, least stable one: run Q.



Run P
Compound: LaAu3O
Source: Alexandria
Functional: PBE
Structure: relaxed

## Properties
Size of the total moment in μB/atom: 0.00
ρ in Mg/m³: 11.963
Density of states at the Fermi level in states/eV per atom: 0.334

Structure (POSCAR):
```
LaAu3O
1.0
4.6955 0.0000 0.0000
0.0000 4.6955 0.0000
0.0000 0.0000 4.6955
La Au O
1 3 1
Cartesian
0.0000 0.0000 0.0000
0.0000 2.3477 2.3477
2.3477 0.0000 2.3477
2.3477 2.3477 0.0000
2.3477 2.3477 2.3477
```



Run Q
Compound: LaAu3O
Source: Alexandria
Functional: PBE
Structure: relaxed

## Properties
Size of the total moment in μB/atom: 0.00
ρ in Mg/m³: 6.508
Density of states at the Fermi level in states/eV per atom: 6.089

Structure (POSCAR):
```
LaAu3O
1.0
5.7519 0.0000 0.0000
0.0000 5.7519 0.0000
0.0000 0.0000 5.7519
La Au O
1 3 1
Cartesian
0.0000 0.0000 0.0000
0.0000 0.0000 2.8760
0.0000 2.8760 0.0000
2.8760 0.0000 0.0000
2.8760 2.8760 2.8760
```



Most stable one: run P, least stable one: run Q.



Run P
Compound: LaY2AuO
Source: Alexandria
Functional: PBE
Structure: relaxed

## Properties
Size of the total moment in μB/atom: 0.00
ρ in Mg/m³: 7.799
Density of states at the Fermi level in states/eV per atom: 1.145

Structure (POSCAR):
```
LaY2AuO
1.0
4.7486 0.0000 0.0000
0.0000 4.7486 0.0000
0.0000 0.0000 5.0011
La Y Au O
1 2 1 1
Cartesian
0.0000 0.0000 0.0000
0.0000 2.3743 2.5006
2.3743 0.0000 2.5006
2.3743 2.3743 0.0000
0.0000 0.0000 2.5006
```



Run Q
Compound: LaY2AuO
Source: Alexandria
Functional: PBE
Structure: relaxed

## Properties
Size of the total moment in μB/atom: 0.00
ρ in Mg/m³: 6.626
Density of states at the Fermi level in states/eV per atom: 1.073

Structure (POSCAR):
```
LaY2AuO
1.0
4.5277 0.0000 0.0000
0.0000 4.5277 0.0000
0.0000 0.0000 6.4758
La Y Au O
1 2 1 1
Cartesian
0.0000 0.0000 0.0000
0.0000 2.2638 3.2379
2.2638 0.0000 3.2379
2.2638 2.2638 0.0000
2.2638 2.2638 3.2379
```



Most stable one: run P, least stable one: run Q.